No. 1
VASP calculation (PBE-GGA) on crystalline La2Tb4PmNd at its relaxed geometry.

a = 3.650 Å, b = 6.300 Å, c = 11.959 Å
α = 79.74°, β = 90.00°, γ = 90.00°
Fractional positions:
1 Tb 0.000 0.250 0.250
2 Tb 0.500 0.749 0.251
3 Tb 0.000 0.750 0.750
4 Tb 0.500 0.251 0.749
5 La 0.500 0.000 0.500
6 La 0.000 0.000 0.000
7 Nd 0.500 0.500 0.000
8 Pm 0.000 0.500 0.500

Results
ρ: 7.38 g cm⁻³
total moment: 0.0 μB per cell
DOS(E_F): 11.20 states/eV per cell

=====

No. 2
VASP calculation (PBE-GGA) on crystalline La2TbPm5Nd at its relaxed geometry.

a = 8.218 Å, b = 8.798 Å, c = 8.798 Å
α = 90.00°, β = 90.00°, γ = 90.00°
Fractional positions:
1 Pm 0.500 0.000 0.000
2 Pm 0.781 0.284 0.216
3 Pm 0.219 0.216 0.716
4 Pm 0.781 0.716 0.784
5 Pm 0.219 0.784 0.284
6 Pm 0.219 0.716 0.784
7 Pm 0.500 0.500 0.500
8 Pm 0.781 0.216 0.716
9 Pm 0.219 0.284 0.216
10 Pm 0.781 0.784 0.284
11 La 0.500 0.119 0.381
12 La 0.500 0.619 0.119
13 La 0.500 0.381 0.881
14 La 0.500 0.881 0.619
15 Nd 0.000 0.000 0.000
16 Nd 0.000 0.500 0.500
17 Tb 0.000 0.500 0.000
18 Tb 0.000 0.000 0.500

Results
ρ: 6.82 g cm⁻³
total moment: 0.0 μB per cell
DOS(E_F): 30.31 states/eV per cell

=====

No. 3
VASP calculation (PBE-GGA) on crystalline La4TbPmNd2 at its relaxed geometry.

a = 5.272 Å, b = 5.239 Å, c = 11.563 Å
α = 62.97°, β = 90.00°, γ = 90.00°
Fractional positions:
1 Nd 0.500 0.000 0.500
2 Nd 0.000 0.000 0.000
3 La 0.000 0.750 0.751
4 La 0.500 0.249 0.752
5 La 0.000 0.250 0.249
6 La 0.500 0.751 0.248
7 Pm 0.000 0.500 0.500
8 Tb 0.500 0.500 0.000

Results
ρ: 6.70 g cm⁻³
total moment: 0.0 μB per cell
DOS(E_F): 12.76 states/eV per cell

=====

No. 4
VASP calculation (PBE-GGA) on crystalline La2Tb2PmNd at its relaxed geometry.

a = 5.800 Å, b = 7.150 Å, c = 10.022 Å
α = 90.00°, β = 90.00°, γ = 90.00°
Fractional positions:
1 La 0.500 0.507 0.000
2 La 0.000 0.757 0.831
3 La 0.500 0.007 0.000
4 La 0.000 0.257 0.169
5 Tb 0.000 0.257 0.833
6 Tb 0.500 0.258 0.335
7 Tb 0.500 0.758 0.665
8 Tb 0.000 0.757 0.167
9 Pm 0.000 0.008 0.500
10 Pm 0.000 0.508 0.500
11 Nd 0.500 0.758 0.335
12 Nd 0.500 0.258 0.665

Results
ρ: 7.07 g cm⁻³
total moment: 0.0 μB per cell
DOS(E_F): 19.16 states/eV per cell

=====

No. 5
VASP calculation (PBE-GGA) on crystalline La2TbPm2Nd4 at its relaxed geometry.

a = 3.711 Å, b = 9.795 Å, c = 9.856 Å
α = 115.13°, β = 90.00°, γ = 100.92°
Fractional positions:
1 Tb 0.000 0.000 0.000
2 La 0.335 0.669 0.001
3 La 0.665 0.331 0.999
4 Nd 0.481 0.963 0.668
5 Nd 0.185 0.371 0.333
6 Nd 0.815 0.629 0.667
7 Nd 0.519 0.037 0.332
8 Pm 0.852 0.705 0.333
9 Pm 0.148 0.295 0.667

Results
ρ: 6.83 g cm⁻³
total moment: 0.0 μB per cell
DOS(E_F): 12.68 states/eV per cell

=====

No. 6
VASP calculation (PBE-GGA) on crystalline La4TbPm2Nd2 at its relaxed geometry.

a = 5.226 Å, b = 8.258 Å, c = 8.232 Å
α = 107.65°, β = 90.00°, γ = 108.45°
Fractional positions:
1 La 0.445 0.891 0.668
2 La 0.555 0.109 0.332
3 La 0.223 0.445 0.332
4 La 0.777 0.555 0.668
5 Nd 0.334 0.668 0.999
6 Nd 0.666 0.332 0.001
7 Pm 0.889 0.777 0.330
8 Pm 0.111 0.223 0.670
9 Tb 0.000 0.000 0.000

Results
ρ: 6.72 g cm⁻³
total moment: 0.0 μB per cell
DOS(E_F): 16.00 states/eV per cell

=====

No. 7
VASP calculation (PBE-GGA) on crystalline LaTb2Pm4Nd2 at its relaxed geometry.

a = 5.170 Å, b = 8.164 Å, c = 8.148 Å
α = 107.48°, β = 90.00°, γ = 108.46°
Fractional positions:
1 Pm 0.555 0.111 0.336
2 Pm 0.445 0.889 0.664
3 Pm 0.777 0.554 0.665
4 Pm 0.223 0.446 0.335
5 La 0.000 0.000 0.000
6 Tb 0.111 0.221 0.664
7 Tb 0.889 0.779 0.336
8 Nd 0.332 0.665 0.001
9 Nd 0.668 0.335 0.999

Results
ρ: 7.11 g cm⁻³
total moment: 0.0 μB per cell
DOS(E_F): 14.23 states/eV per cell

=====

No. 8
VASP calculation (PBE-GGA) on crystalline LaTb2Pm5Nd at its relaxed geometry.

a = 8.845 Å, b = 8.845 Å, c = 10.155 Å
α = 115.82°, β = 115.82°, γ = 90.00°
Fractional positions:
1 Pm 0.167 0.065 0.732
2 Pm 0.065 0.565 0.732
3 Pm 0.435 0.333 0.268
4 Pm 0.000 0.000 0.000
5 Pm 0.667 0.167 0.732
6 Pm 0.565 0.667 0.732
7 Pm 0.333 0.833 0.268
8 Pm 0.935 0.435 0.268
9 Pm 0.500 0.500 0.000
10 Pm 0.833 0.935 0.268
11 Tb 0.119 0.381 0.000
12 Tb 0.881 0.619 0.000
13 Tb 0.619 0.119 0.000
14 Tb 0.381 0.881 0.000
15 La 0.250 0.250 0.500
16 La 0.750 0.750 0.500
17 Nd 0.750 0.250 0.500
18 Nd 0.250 0.750 0.500

Results
ρ: 7.04 g cm⁻³
total moment: 0.0 μB per cell
DOS(E_F): 27.19 states/eV per cell

=====

No. 9
VASP calculation (PBE-GGA) on crystalline LaTb5PmNd2 at its relaxed geometry.

a = 8.788 Å, b = 8.788 Å, c = 10.037 Å
α = 115.96°, β = 115.96°, γ = 90.00°
Fractional positions:
1 Tb 0.500 0.500 0.000
2 Tb 0.929 0.429 0.273
3 Tb 0.429 0.344 0.273
4 Tb 0.071 0.571 0.727
5 Tb 0.000 0.000 0.000
6 Tb 0.656 0.156 0.727
7 Tb 0.844 0.929 0.273
8 Tb 0.156 0.071 0.727
9 Tb 0.344 0.844 0.273
10 Tb 0.571 0.656 0.727
11 Pm 0.250 0.750 0.500
12 Pm 0.750 0.250 0.500
13 Nd 0.618 0.118 0.000
14 Nd 0.382 0.882 0.000
15 Nd 0.118 0.382 0.000
16 Nd 0.882 0.618 0.000
17 La 0.250 0.250 0.500
18 La 0.750 0.750 0.500

Results
ρ: 7.46 g cm⁻³
total moment: 0.0 μB per cell
DOS(E_F): 19.72 states/eV per cell

=====

No. 10
VASP calculation (PBE-GGA) on crystalline La2Tb5PmNd at its relaxed geometry.

a = 8.720 Å, b = 8.720 Å, c = 10.088 Å
α = 115.61°, β = 115.61°, γ = 90.00°
Fractional positions:
1 Pm 0.250 0.250 0.500
2 Pm 0.750 0.750 0.500
3 La 0.882 0.618 0.000
4 La 0.118 0.382 0.000
5 La 0.382 0.882 0.000
6 La 0.618 0.118 0.000
7 Tb 0.927 0.427 0.281
8 Tb 0.500 0.500 0.000
9 Tb 0.646 0.146 0.719
10 Tb 0.573 0.646 0.719
11 Tb 0.073 0.573 0.719
12 Tb 0.354 0.854 0.281
13 Tb 0.146 0.073 0.719
14 Tb 0.427 0.354 0.281
15 Tb 0.000 0.000 0.000
16 Tb 0.854 0.927 0.281
17 Nd 0.750 0.250 0.500
18 Nd 0.250 0.750 0.500

Results
ρ: 7.45 g cm⁻³
total moment: 0.0 μB per cell
DOS(E_F): 24.59 states/eV per cell

=====

No. 11
VASP calculation (PBE-GGA) on crystalline La2Tb2Pm4Nd at its relaxed geometry.

a = 3.691 Å, b = 9.751 Å, c = 9.788 Å
α = 115.28°, β = 90.00°, γ = 100.91°
Fractional positions:
1 Pm 0.519 0.038 0.337
2 Pm 0.186 0.372 0.335
3 Pm 0.481 0.962 0.663
4 Pm 0.814 0.628 0.665
5 Tb 0.852 0.704 0.335
6 Tb 0.148 0.296 0.665
7 Nd 0.000 0.000 0.000
8 La 0.333 0.667 0.002
9 La 0.667 0.333 0.998

Results
ρ: 7.04 g cm⁻³
total moment: 0.0 μB per cell
DOS(E_F): 13.11 states/eV per cell

=====

Computed ΔH_f (0 K), in the same sequence as the records: 0.015 0.238 0.014 0.061 0.009 0.017 0.016 0.265 0.245 0.239 0.003 eV/atom.